{"formula": "ScSiAg", "functional": "GGA-PBE", "state": "relaxed", "lattice": [[-1.5847, 2.0838, 4.1677], [1.5847, -2.0838, 4.1677], [1.5847, 2.0838, -4.1677]], "species": ["Sc", "Si", "Ag"], "fractional_positions": [[0.0000, 0.0000, 0.0000], [0.6567, 0.6567, 0.0000], [0.3314, 0.3314, 0.0000]], "sg": "Imm2, No. 44"}

---

{"formula": "Sc2SiAg", "functional": "GGA-PBE", "state": "relaxed", "lattice": [[-1.9935, 1.9935, 4.8002], [1.9935, -1.9935, 4.8002], [1.9935, 1.9935, -4.8002]], "species": ["Sc", "Sc", "Si", "Ag"], "fractional_positions": [[0.0000, 0.0000, 0.0000], [0.7500, 0.2500, 0.5000], [0.2500, 0.7500, 0.5000], [0.5000, 0.5000, 0.0000]], "sg": "I-4m2, No. 119"}

---

{"formula": "ScSiAg2", "functional": "GGA-PBE", "state": "relaxed", "lattice": [[2.9474, 0.0000, 0.0000], [0.0000, 4.0480, 0.0000], [0.0000, 0.0000, 6.0991]], "species": ["Sc", "Si", "Ag", "Ag"], "fractional_positions": [[0.0000, 0.0000, 0.0000], [0.5000, 0.5000, 0.2116], [0.0000, 0.0000, 0.4854], [0.5000, 0.5000, 0.7211]], "sg": "Pmm2, No. 25"}

---

{"formula": "ScSi2Ag", "functional": "GGA-PBE", "state": "relaxed", "lattice": [[2.1218, -2.7126, 0.0000], [2.1218, 2.7126, 0.0000], [0.0000, 0.0000, 6.2673]], "species": ["Sc", "Si", "Si", "Ag"], "fractional_positions": [[0.0000, 0.0000, 0.0000], [0.5000, 0.5000, 0.2721], [0.5000, 0.5000, 0.7279], [0.0000, 0.0000, 0.5000]], "sg": "Cmmm, No. 65"}

---

{"formula": "SmScSiAg", "functional": "GGA-PBE", "state": "relaxed", "lattice": [[0.0000, 3.5117, 3.5117], [3.5117, 0.0000, 3.5117], [3.5117, 3.5117, 0.0000]], "species": ["Sm", "Sc", "Si", "Ag"], "fractional_positions": [[0.0000, 0.0000, 0.0000], [0.5000, 0.5000, 0.5000], [0.2500, 0.2500, 0.2500], [0.7500, 0.7500, 0.7500]], "sg": "F-43m, No. 216"}

---

{"formula": "ScSiTc2Ag", "functional": "GGA-PBE", "state": "relaxed", "lattice": [[4.5202, 0.0000, 0.0000], [0.0000, 4.5202, 0.0000], [0.0000, 0.0000, 4.5538]], "species": ["Sc", "Si", "Tc", "Tc", "Ag"], "fractional_positions": [[0.0000, 0.0000, 0.0000], [0.5000, 0.5000, 0.5000], [0.0000, 0.5000, 0.5000], [0.5000, 0.0000, 0.5000], [0.5000, 0.5000, 0.0000]], "sg": "P4/mmm, No. 123"}

---

no.,raw formation energy (eV per formula unit),DFT total energy (eV per atom)
1,-0.38,-4.996
2,-1.35,-5.573
3,-0.33,-4.447
4,-0.17,-5.051
5,-1.62,-5.237
6,2.01,-6.666